The following is a DFT calculation (PBE-GGA) of crystalline La2Pm7Nd3 at its relaxed geometry.

The structure in CIF format:
```
data_La2Pm7Nd3
_space_group_name_H-M_alt 'P 1 2/m 1'
_space_group_IT_number 10
_cell_length_a 6.5292
_cell_length_b 3.6146
_cell_length_c 18.0456
_cell_angle_alpha 90.00
_cell_angle_beta 96.35
_cell_angle_gamma 90.00
loop_
_space_group_symop_operation_xyz
'x,y,z'
'-x,-y,-z'
'-x,y,-z'
'x,-y,z'
loop_
_atom_site_label
_atom_site_fract_x
_atom_site_fract_y
_atom_site_fract_z
La1 0.0569 0.0000 0.1702
Pm1 0.0000 0.5000 0.5000
Pm2 0.2271 0.0000 0.6659
Pm3 0.2568 0.0000 0.9992
Pm4 0.2736 0.5000 0.3358
Nd1 0.4537 0.5000 0.8399
Nd2 0.5000 0.0000 0.5000
```

Values from the calculation:
Its calculated formation energy is 0.0695 eV per atom. The calculation puts the density of states at the Fermi level at 1.63 states/eV/atom.